# KUAl2O6

A relaxed KUAl2O6 crystal (PBE, Alexandria).

Formation energy from raw total energies: -2.834 eV per atom
DFT total energy: -7.80 eV per atom
Symmetry: C2/c (15)
M_tot: 1.00 μB/f.u.

a = 7.450 Å, b = 7.450 Å, c = 5.978 Å
α = 103.02°, β = 103.02°, γ = 87.87°
Element x y z (fractional)
K (0.088, 0.912, 0.750)
K (0.912, 0.088, 0.250)
U (0.289, 0.711, 0.250)
U (0.711, 0.289, 0.750)
Al (0.213, 0.371, 0.837)
Al (0.371, 0.213, 0.337)
Al (0.629, 0.787, 0.663)
Al (0.787, 0.629, 0.163)
O (0.008, 0.729, 0.286)
O (0.209, 0.617, 0.899)
O (0.271, 0.992, 0.214)
O (0.292, 0.367, 0.147)
O (0.367, 0.292, 0.647)
O (0.383, 0.791, 0.601)
O (0.617, 0.209, 0.399)
O (0.633, 0.708, 0.353)
O (0.708, 0.633, 0.853)
O (0.729, 0.008, 0.786)
O (0.791, 0.383, 0.101)
O (0.992, 0.271, 0.714)